No. 1
Computed, not measured: crystalline SrNiOs2 at its relaxed geometry at the PBE level of DFT.

E above lowest polymorph   732 meV/atom

Cell lengths 5.720, 5.720, 5.720 Å; angles 150.95, 126.94, 61.63 degrees
Fractional positions:
Sr (0.495, 0.495, 0.000)
Os (0.789, 0.289, 0.500)
Os (0.001, 0.001, 0.000)
Ni (0.215, 0.715, 0.500)

No. 2
Computed, not measured: crystalline SrNiOs2 at its relaxed geometry at the PBE level of DFT.

E above lowest polymorph   539 meV/atom

Cell lengths 2.925, 2.925, 7.963 Å; angles 90.00, 90.00, 90.00 degrees
Fractional positions:
Sr (0.500, 0.500, 0.250)
Os (0.000, 0.000, 0.931)
Os (0.000, 0.000, 0.569)
Ni (0.500, 0.500, 0.750)

No. 3
Computed, not measured: crystalline SrNiOs2 at its relaxed geometry at the PBE level of DFT.

E above lowest polymorph   671 meV/atom

Cell lengths 2.853, 4.625, 5.127 Å; angles 90.00, 90.00, 90.00 degrees
Fractional positions:
Ni (0.000, 0.500, 0.500)
Sr (0.500, 0.000, 0.500)
Os (0.500, 0.500, 0.000)
Os (0.000, 0.000, 0.000)

No. 4
Computed, not measured: crystalline SrNiOs2 at its relaxed geometry at the PBE level of DFT.

E above lowest polymorph   0 meV/atom

Cell lengths 4.265, 4.265, 6.028 Å; angles 69.33, 69.33, 59.99 degrees
Fractional positions:
Os (0.009, 0.009, 0.973)
Os (0.688, 0.688, 0.936)
Ni (0.305, 0.305, 0.086)
Sr (0.498, 0.498, 0.505)

No. 5
Computed, not measured: crystalline SrNiOs3 at its relaxed geometry at the PBE level of DFT.

E above lowest polymorph   2389 meV/atom

Cell lengths 4.792, 4.792, 4.792 Å; angles 90.00, 90.00, 90.00 degrees
Each line ends with the local moment (μB).
Fractional positions:
Os (0.000, 0.500, 0.000)  0.18
Os (0.500, 0.000, 0.000)  0.20
Os (0.000, 0.000, 0.500)  0.09
Sr (0.000, 0.000, 0.000)  -0.01
Ni (0.500, 0.500, 0.500)  -0.49

No. 6
Computed, not measured: crystalline SrNiOs4 at its relaxed geometry at the PBE level of DFT.

Electronic total energy   -47.7 eV for the cell shown

Cell lengths 5.288, 5.288, 5.288 Å; angles 60.00, 60.00, 60.00 degrees
Each line ends with the local moment (μB).
Fractional positions:
Ni (0.000, 0.000, 0.000)  0.56
Os (0.374, 0.878, 0.374)  0.11
Os (0.374, 0.374, 0.374)  0.11
Os (0.878, 0.374, 0.374)  0.11
Os (0.374, 0.374, 0.878)  0.11
Sr (0.750, 0.750, 0.750)  0.00

No. 7
Computed, not measured: crystalline SrNiOs2 at its relaxed geometry at the PBE level of DFT.

E above lowest polymorph   574 meV/atom

Cell lengths 2.695, 3.764, 7.082 Å; angles 90.00, 90.00, 90.00 degrees
Fractional positions:
Sr (0.500, 0.500, 0.250)
Ni (0.500, 0.500, 0.750)
Os (0.000, 0.000, 0.923)
Os (0.000, 0.000, 0.577)

No. 8
Computed, not measured: crystalline SrNiOs2 at its relaxed geometry at the PBE level of DFT.

E above lowest polymorph   735 meV/atom

Cell lengths 9.824, 9.824, 9.824 Å; angles 16.28, 16.28, 16.28 degrees
Each line ends with the local moment (μB).
Fractional positions:
Os (0.486, 0.486, 0.486)  0.04
Os (0.014, 0.014, 0.014)  0.04
Ni (0.750, 0.750, 0.750)  0.19
Sr (0.250, 0.250, 0.250)  0.00

No. 9
Computed, not measured: crystalline Sr2NiOs at its relaxed geometry at the PBE level of DFT.

E above lowest polymorph   135 meV/atom

Cell lengths 6.782, 6.782, 4.666 Å; angles 69.89, 69.89, 35.51 degrees
Fractional positions:
Sr (0.002, 0.002, 0.998)
Sr (0.243, 0.243, 0.257)
Ni (0.417, 0.417, 0.583)
Os (0.838, 0.838, 0.662)

No. 10
Computed, not measured: crystalline SrNiOs2 at its relaxed geometry at the PBE level of DFT.

E above lowest polymorph   774 meV/atom

Cell lengths 4.562, 4.562, 4.562 Å; angles 119.76, 119.76, 90.41 degrees
Fractional positions:
Os (0.750, 0.250, 0.500)
Os (0.000, 0.000, 0.000)
Ni (0.250, 0.750, 0.500)
Sr (0.500, 0.500, 0.000)

No. 11
Computed, not measured: crystalline SrNiOs2 at its relaxed geometry at the PBE level of DFT.

E above lowest polymorph   687 meV/atom

Cell lengths 9.725, 9.725, 9.725 Å; angles 16.73, 16.73, 16.73 degrees
Fractional positions:
Ni (0.739, 0.739, 0.739)
Sr (0.497, 0.497, 0.497)
Os (0.001, 0.001, 0.001)
Os (0.262, 0.262, 0.262)

No. 12
Computed, not measured: crystalline Sr2NiOs at its relaxed geometry at the PBE level of DFT.

E above lowest polymorph   483 meV/atom

Cell lengths 5.439, 5.438, 3.222 Å; angles 90.00, 90.00, 90.00 degrees
Each line ends with the local moment (μB).
Fractional positions:
Os (0.000, 0.500, 0.500)  0.94
Sr (0.500, 0.500, 0.000)  -0.02
Sr (0.000, 0.000, 0.000)  -0.02
Ni (0.500, 0.000, 0.500)  0.34

No. 13
Computed, not measured: crystalline SrNiOs2 at its relaxed geometry at the PBE level of DFT.

E above lowest polymorph   888 meV/atom

Cell lengths 5.558, 5.558, 5.558 Å; angles 139.99, 139.99, 57.87 degrees
Each line ends with the local moment (μB).
Fractional positions:
Os (0.500, 0.500, 0.000)  0.06
Os (0.000, 0.000, 0.000)  0.06
Sr (0.250, 0.750, 0.500)  -0.01
Ni (0.750, 0.250, 0.500)  0.28

No. 14
Computed, not measured: crystalline SrNiOs2 at its relaxed geometry at the PBE level of DFT.

E above lowest polymorph   320 meV/atom

Cell lengths 4.208, 2.805, 6.345 Å; angles 77.03, 90.00, 90.00 degrees
Fractional positions:
Ni (0.500, 0.912, 0.802)
Os (0.000, 0.799, 0.023)
Os (0.500, 0.237, 0.149)
Sr (0.000, 0.552, 0.525)

No. 15
Computed, not measured: crystalline Sr2NiOs at its relaxed geometry at the PBE level of DFT.

E above lowest polymorph   697 meV/atom

Cell lengths 9.291, 9.291, 9.291 Å; angles 21.53, 21.53, 21.53 degrees
Each line ends with the local moment (μB).
Fractional positions:
Os (0.750, 0.750, 0.750)  0.01
Ni (0.250, 0.250, 0.250)  0.21
Sr (0.000, 0.000, 0.000)  0.00
Sr (0.500, 0.500, 0.500)  0.00

No. 16
Computed, not measured: crystalline SrNiOs2 at its relaxed geometry at the PBE level of DFT.

E above lowest polymorph   860 meV/atom

Cell lengths 5.400, 5.400, 2.659 Å; angles 90.00, 90.00, 119.22 degrees
Fractional positions:
Os (0.000, 0.000, 0.000)
Os (0.500, 0.500, 0.000)
Ni (0.000, 0.500, 0.500)
Sr (0.500, 0.000, 0.500)

No. 17
Computed, not measured: crystalline Sr2NiOs2 at its relaxed geometry at the PBE level of DFT.

E above lowest polymorph   0 meV/atom

Cell lengths 3.579, 3.579, 9.563 Å; angles 79.22, 79.22, 90.00 degrees
Fractional positions:
Os (0.250, 0.750, 0.500)
Os (0.750, 0.250, 0.500)
Ni (0.000, 0.000, 0.000)
Sr (0.601, 0.601, 0.798)
Sr (0.399, 0.399, 0.202)

No. 18
Computed, not measured: crystalline SrNiOs2 at its relaxed geometry at the PBE level of DFT.

E above lowest polymorph   321 meV/atom

Cell lengths 2.952, 2.952, 7.971 Å; angles 90.00, 90.00, 90.00 degrees
Fractional positions:
Os (0.000, 0.000, 0.998)
Os (0.500, 0.500, 0.193)
Ni (0.500, 0.500, 0.802)
Sr (0.000, 0.000, 0.507)

No. 19
Computed, not measured: crystalline SrNiOs2 at its relaxed geometry at the PBE level of DFT.

E above lowest polymorph   453 meV/atom

Cell lengths 4.498, 4.240, 4.240 Å; angles 69.58, 90.00, 90.00 degrees
Fractional positions:
Os (0.000, 0.928, 0.928)
Os (0.000, 0.572, 0.572)
Ni (0.500, 0.750, 0.750)
Sr (0.500, 0.250, 0.250)

No. 20
Computed, not measured: crystalline Sr2NiOs at its relaxed geometry at the PBE level of DFT.

E above lowest polymorph   726 meV/atom

Cell lengths 8.096, 8.096, 6.430 Å; angles 50.99, 50.99, 90.00 degrees
Each line ends with the local moment (μB).
Fractional positions:
Os (0.000, 0.000, 0.000)  1.13
Os (0.750, 0.250, 0.500)  1.13
Sr (0.375, 0.399, 0.750)  -0.03
Sr (0.875, 0.851, 0.750)  -0.04
Sr (0.149, 0.625, 0.250)  -0.04
Sr (0.601, 0.125, 0.250)  -0.03
Ni (0.500, 0.500, 0.000)  0.38
Ni (0.250, 0.750, 0.500)  0.37

No. 21
Computed, not measured: crystalline SrZnNi2Os at its relaxed geometry at the PBE level of DFT.

Electronic total energy   -14.2 eV for the cell shown

Cell lengths 4.508, 5.056, 4.508 Å; angles 90.00, 90.00, 90.00 degrees
Each line ends with the local moment (μB).
Fractional positions:
Ni (0.500, 0.000, 0.000)  0.20
Ni (0.000, 0.000, 0.500)  0.04
Sr (0.000, 0.000, 0.000)  -0.05
Zn (0.000, 0.500, 0.000)  -0.03
Os (0.500, 0.500, 0.500)  1.79

No. 22
Computed, not measured: crystalline Sr2ZrNiOs at its relaxed geometry at the PBE level of DFT.

Electronic total energy   -20.2 eV for the cell shown

Cell lengths 5.989, 4.419, 5.989 Å; angles 90.00, 90.00, 90.00 degrees
Each line ends with the local moment (μB).
Fractional positions:
Sr (0.500, 0.000, 0.000)  0.02
Sr (0.000, 0.000, 0.500)  0.07
Ni (0.000, 0.500, 0.000)  0.10
Zr (0.000, 0.000, 0.000)  0.54
Os (0.500, 0.500, 0.500)  2.24

No. 23
Computed, not measured: crystalline TaNi2Os at its relaxed geometry at the PBE level of DFT.

E above lowest polymorph   584 meV/atom

Cell lengths 3.659, 3.659, 9.255 Å; angles 78.60, 78.60, 90.00 degrees
Fractional positions:
Ta (0.500, 0.500, 0.000)
Ta (0.250, 0.750, 0.500)
Ni (0.641, 0.125, 0.250)
Ni (0.875, 0.891, 0.750)
Ni (0.109, 0.625, 0.250)
Ni (0.375, 0.359, 0.750)
Os (0.750, 0.250, 0.500)
Os (0.000, 0.000, 0.000)

No. 24
Computed, not measured: crystalline TaNi2Os at its relaxed geometry at the PBE level of DFT.

E above lowest polymorph   416 meV/atom

Cell lengths 8.796, 8.796, 8.796 Å; angles 17.74, 17.74, 17.74 degrees
Each line ends with the local moment (μB).
Fractional positions:
Ta (0.750, 0.750, 0.750)  0.03
Os (0.250, 0.250, 0.250)  0.08
Ni (0.503, 0.503, 0.503)  0.27
Ni (0.997, 0.997, 0.997)  0.27

No. 25
Computed, not measured: crystalline TaNi2Os at its relaxed geometry at the PBE level of DFT.

E above lowest polymorph   86 meV/atom

Cell lengths 4.626, 4.626, 4.626 Å; angles 131.52, 131.54, 70.97 degrees
Fractional positions:
Ni (0.000, 0.000, 0.000)
Ni (0.750, 0.250, 0.500)
Ta (0.250, 0.750, 0.500)
Os (0.500, 0.500, 0.000)

No. 26
Computed, not measured: crystalline TaNi2Os at its relaxed geometry at the PBE level of DFT.

E above lowest polymorph   105 meV/atom

Cell lengths 3.161, 3.161, 5.452 Å; angles 90.00, 90.00, 90.00 degrees
Fractional positions:
Ni (0.000, 0.000, 0.020)
Ni (0.500, 0.500, 0.228)
Ta (0.500, 0.500, 0.762)
Os (0.000, 0.000, 0.489)

No. 27
Computed, not measured: crystalline TaNi2Os at its relaxed geometry at the PBE level of DFT.

E above lowest polymorph   47 meV/atom

Cell lengths 4.650, 4.650, 4.650 Å; angles 132.40, 132.38, 69.61 degrees
Fractional positions:
Ni (0.000, 0.000, 0.000)
Ni (0.500, 0.500, 0.000)
Os (0.750, 0.250, 0.500)
Ta (0.250, 0.750, 0.500)

No. 28
Computed, not measured: crystalline Ta2Ni2Os at its relaxed geometry at the PBE level of DFT.

Electronic total energy   -95.5 eV for the cell shown

Cell lengths 6.737, 6.737, 3.160 Å; angles 90.00, 90.00, 90.00 degrees
Fractional positions:
Ni (0.622, 0.122, 0.000)
Ni (0.122, 0.378, 0.000)
Ni (0.378, 0.878, 0.000)
Ni (0.878, 0.622, 0.000)
Ta (0.681, 0.819, 0.500)
Ta (0.181, 0.681, 0.500)
Ta (0.819, 0.319, 0.500)
Ta (0.319, 0.181, 0.500)
Os (0.000, 0.000, 0.000)
Os (0.500, 0.500, 0.000)

No. 29
Computed, not measured: crystalline TaNi4Os at its relaxed geometry at the PBE level of DFT.

Electronic total energy   -47.2 eV for the cell shown

Cell lengths 4.707, 4.707, 4.707 Å; angles 60.00, 60.00, 60.00 degrees
Each line ends with the local moment (μB).
Fractional positions:
Ni (0.624, 0.624, 0.127)  0.24
Ni (0.127, 0.624, 0.624)  0.24
Ni (0.624, 0.127, 0.624)  0.24
Ni (0.624, 0.624, 0.624)  0.24
Ta (0.000, 0.000, 0.000)  -0.07
Os (0.250, 0.250, 0.250)  0.23

Across the entries above, N(E_F) takes the values 1.462, 0.588, 1.182, 1.222, 3.010, 1.506, 1.203, 1.401, 0.955, 1.156, 1.481, 1.199, 1.486, 0.760, 0.713, 0.977, 0.861, 1.011, 0.918, 1.145, 1.220, 1.511, 1.228, 1.192, 1.590, 0.981, 1.171, 0.835, 1.010 states/eV/atom, respectively.
Across the entries above, M_tot takes the values 0.00, 0.00, 0.00, 0.00, 0.01, 0.99, 0.00, 0.27, 0.00, 0.00, 0.00, 1.21, 0.38, 0.00, 0.23, 0.00, 0.00, 0.00, 0.00, 1.42, 1.92, 3.43, 0.00, 0.65, 0.00, 0.00, 0.00, 0.00, 1.04 μB per formula unit, respectively.